# Be2TcHgF

Be2TcHgF after structural relaxation (PBE, Alexandria).

As for the formation energy without anion corrections: 0.406 eV/atom. Its relative energy among the computed polymorphs is 0.091 eV per atom. The total energy is -3.59 eV per atom. The volume comes out at 68.0 Å³/cell.

Geometry as extended XYZ:
```
5
Lattice="3.972 0.000 0.000 0.000 3.972 0.000 0.000 0.000 4.312" Properties=species:S:1:pos:R:3 pbc="T T T"
Be 0.000 1.986 0.000
Be 1.986 0.000 0.000
Tc 0.000 0.000 2.156
Hg 1.986 1.986 2.156
F 0.000 0.000 0.000
```